# 1
Below is a geometry-optimized Tb7InTe2 structure, with properties calculated at the PBE-GGA level.

Lattice parameters (Å, degrees): 8.872 14.825 5.481 90.00 90.00 90.00
Space group Cmmm (No. 65)
Asymmetric unit:
Tb 0.000 0.000 0.000 (multiplicity 2)
Tb 0.000 0.271 0.500 (multiplicity 4)
Tb 0.183 0.381 0.000 (multiplicity 8)
In 0.000 0.500 0.500 (multiplicity 2)
Te 0.000 0.202 0.000 (multiplicity 4)

Properties
The value obtained for the spin magnetization is 0.0 μB per formula unit. As for the uncorrected formation energy: -0.130 eV per atom.

# 2
Below is a geometry-optimized TiVSeN2 structure, with properties calculated at the PBE-GGA level.

Lattice parameters (Å, degrees): 3.863 3.863 5.227 90.00 90.00 90.00
Space group P4/mmm (No. 123)
Asymmetric unit:
Ti 0.000 0.000 0.000 (multiplicity 1)
V 0.500 0.500 0.500 (multiplicity 1)
Se 0.000 0.000 0.500 (multiplicity 1)
N 0.000 0.500 0.000 (multiplicity 2)

Properties
The value obtained for the spin magnetization is 2.0 μB per formula unit. As for the energy above the most stable polymorph in this dataset: 188 meV per atom. As for the uncorrected formation energy: 0.257 eV per atom.

# 3
Below is a geometry-optimized AlCrSb2 structure, with properties calculated at the PBE-GGA level.

Lattice parameters (Å, degrees): 6.229 7.621 3.636 90.00 90.00 90.00
Space group Cmmm (No. 65)
Asymmetric unit:
Al 0.000 0.000 0.000 (multiplicity 2)
Cr 0.000 0.500 0.000 (multiplicity 2)
Sb 0.250 0.250 0.500 (multiplicity 4)

Properties
The value obtained for the spin magnetization is 3.7 μB per formula unit. As for the uncorrected formation energy: 0.305 eV per atom.

The highest spin magnetization belongs to which entry?
AlCrSb2

Which value of spin magnetization does entry 1 give?
0.0 μB per formula unit

The highest spin magnetization belongs to which entry?
AlCrSb2